Material: Ba2Ga4SnGe3
Method: DFT, GGA-PBE
State: relaxed

Cell lengths 4.9371, 4.9371, 10.1880 Å; angles 90.00, 90.00, 90.00 degrees
Fractional coordinates of all 10 atoms:
Ba1 0.0000 0.5000 0.2441
Ba2 0.5000 0.0000 0.7559
Ga1 0.0000 0.0000 0.0000
Ga2 0.0000 0.5000 0.6295
Ga3 0.5000 0.0000 0.3705
Ga4 0.5000 0.5000 0.0000
Sn1 0.0000 0.0000 0.5000
Ge1 0.0000 0.5000 0.8852
Ge2 0.5000 0.0000 0.1148
Ge3 0.5000 0.5000 0.5000

Summary:
Fermi-level density of states (states/eV per atom): 0.326
ΔH_f (0 K) (eV per atom): -0.35
V (Å³ per cell): 248.3